P | # AlMoBr2 PBE-GGA optimized geometry
data_AlMoBr2
_symmetry_space_group_name_H-M 'P 1 m 1'
_symmetry_Int_Tables_number 6
_symmetry_space_group_name_Hall 'P -2y'
_cell_length_a 3.777
_cell_length_b 3.337
_cell_length_c 8.107
_cell_angle_alpha 90.00
_cell_angle_beta 98.39
_cell_angle_gamma 90.00
loop_
_atom_site_label
_atom_site_type_symbol
_atom_site_fract_x
_atom_site_fract_y
_atom_site_fract_z
Al1 Al 0.000 0.000 0.000
Mo1 Mo 0.531 0.500 0.103
Br1 Br 0.276 0.500 0.779
Br2 Br 0.623 0.000 0.346
# **DOS at the Fermi energy**: 1.2 states/eV/f.u.

=====

Q | # AlMoBr2 PBE-GGA optimized geometry
data_AlMoBr2
_symmetry_space_group_name_H-M 'R -3 m'
_symmetry_Int_Tables_number 166
_symmetry_space_group_name_Hall '-R 3 2"'
_cell_length_a 3.2844
_cell_length_b 3.2844
_cell_length_c 29.5238
_cell_angle_alpha 90.00
_cell_angle_beta 90.00
_cell_angle_gamma 120.00
loop_
_atom_site_label
_atom_site_type_symbol
_atom_site_fract_x
_atom_site_fract_y
_atom_site_fract_z
Al1 Al 0.0000 0.0000 0.0000
Mo1 Mo 0.0000 0.0000 0.5000
Br1 Br 0.0000 0.0000 0.1048
# **DOS at the Fermi energy**: 2.9 states/eV/f.u.

=====

Quick one: most stable of them? P

=====

P | # TcHSe2 PBE-GGA optimized geometry
data_TcHSe2
_symmetry_space_group_name_H-M 'C m c m'
_symmetry_Int_Tables_number 63
_symmetry_space_group_name_Hall '-C 2c 2'
_cell_length_a 3.235
_cell_length_b 21.625
_cell_length_c 4.507
_cell_angle_alpha 90.00
_cell_angle_beta 90.00
_cell_angle_gamma 90.00
loop_
_atom_site_label
_atom_site_type_symbol
_atom_site_fract_x
_atom_site_fract_y
_atom_site_fract_z
Tc1 Tc 0.000 0.025 0.250
H1 H 0.000 0.314 0.250
Se1 Se 0.000 0.086 0.750
Se2 Se 0.000 0.244 0.250
# **DOS at the Fermi energy**: 2.5 states/eV/f.u.

=====

Q | # TcHSe2 PBE-GGA optimized geometry
data_TcHSe2
_symmetry_space_group_name_H-M 'P 1'
_symmetry_Int_Tables_number 1
_symmetry_space_group_name_Hall 'P 1'
_cell_length_a 4.462
_cell_length_b 5.164
_cell_length_c 7.385
_cell_angle_alpha 88.69
_cell_angle_beta 72.43
_cell_angle_gamma 85.45
loop_
_atom_site_label
_atom_site_type_symbol
_atom_site_fract_x
_atom_site_fract_y
_atom_site_fract_z
Tc1 Tc 0.000 0.000 0.000
Tc2 Tc 0.385 0.254 0.000
H1 H 0.313 0.750 0.281
H2 H 0.594 0.749 0.719
Se1 Se 0.055 0.618 0.230
Se2 Se 0.284 0.617 0.770
Se3 Se 0.555 0.130 0.275
Se4 Se 0.830 0.130 0.725
# **DOS at the Fermi energy**: 0.0 states/eV/f.u.

=====

Quick one: most stable of them? Q

=====

P | # TaTl2Mo PBE-GGA optimized geometry
data_TaTl2Mo
_symmetry_space_group_name_H-M 'P 4/m m m'
_symmetry_Int_Tables_number 123
_symmetry_space_group_name_Hall '-P 4 2'
_cell_length_a 3.003
_cell_length_b 3.003
_cell_length_c 8.883
_cell_angle_alpha 90.00
_cell_angle_beta 90.00
_cell_angle_gamma 90.00
loop_
_atom_site_label
_atom_site_type_symbol
_atom_site_fract_x
_atom_site_fract_y
_atom_site_fract_z
Ta1 Ta 0.000 0.000 0.000
Tl1 Tl 0.500 0.500 0.257
Mo1 Mo 0.000 0.000 0.500
# **DOS at the Fermi energy**: 3.0 states/eV/f.u.

=====

Q | # TaTl2Mo PBE-GGA optimized geometry
data_TaTl2Mo
_symmetry_space_group_name_H-M 'C m m m'
_symmetry_Int_Tables_number 65
_symmetry_space_group_name_Hall '-C 2 2'
_cell_length_a 3.333
_cell_length_b 5.004
_cell_length_c 9.711
_cell_angle_alpha 90.00
_cell_angle_beta 90.00
_cell_angle_gamma 90.00
loop_
_atom_site_label
_atom_site_type_symbol
_atom_site_fract_x
_atom_site_fract_y
_atom_site_fract_z
Ta1 Ta 0.000 0.000 0.000
Tl1 Tl 0.000 0.500 0.256
Mo1 Mo 0.000 0.000 0.500
# **DOS at the Fermi energy**: 2.8 states/eV/f.u.

=====

Quick one: most stable of them? Q

=====

P | # LiCaSeBrF PBE-GGA optimized geometry
data_LiCaSeBrF
_symmetry_space_group_name_H-M 'C 1 m 1'
_symmetry_Int_Tables_number 8
_symmetry_space_group_name_Hall 'C -2y'
_cell_length_a 12.943
_cell_length_b 3.532
_cell_length_c 5.918
_cell_angle_alpha 90.00
_cell_angle_beta 114.09
_cell_angle_gamma 90.00
loop_
_atom_site_label
_atom_site_type_symbol
_atom_site_fract_x
_atom_site_fract_y
_atom_site_fract_z
Li1 Li 0.000 0.000 0.000
Ca1 Ca 0.237 0.000 0.887
Se1 Se 0.203 0.000 0.358
Br1 Br 0.036 0.500 0.724
F1 F 0.352 0.500 0.975
# **DOS at the Fermi energy**: 2.1 states/eV/f.u.

=====

Q | # LiCaSeBrF PBE-GGA optimized geometry
data_LiCaSeBrF
_symmetry_space_group_name_H-M 'P 1'
_symmetry_Int_Tables_number 1
_symmetry_space_group_name_Hall 'P 1'
_cell_length_a 3.307
_cell_length_b 6.016
_cell_length_c 6.547
_cell_angle_alpha 64.94
_cell_angle_beta 89.99
_cell_angle_gamma 74.41
loop_
_atom_site_label
_atom_site_type_symbol
_atom_site_fract_x
_atom_site_fract_y
_atom_site_fract_z
Li1 Li 0.000 0.000 0.000
Ca1 Ca 0.635 0.723 0.564
Se1 Se 0.390 0.224 0.634
Br1 Br 0.211 0.564 0.981
F1 F 0.053 0.891 0.316
# **DOS at the Fermi energy**: 2.8 states/eV/f.u.

=====

Quick one: most stable of them? P

=====

P | # CaTa2Co PBE-GGA optimized geometry
data_CaTa2Co
_symmetry_space_group_name_H-M 'I m m 2'
_symmetry_Int_Tables_number 44
_symmetry_space_group_name_Hall 'I 2 -2'
_cell_length_a 3.171
_cell_length_b 4.933
_cell_length_c 9.445
_cell_angle_alpha 90.00
_cell_angle_beta 90.00
_cell_angle_gamma 90.00
loop_
_atom_site_label
_atom_site_type_symbol
_atom_site_fract_x
_atom_site_fract_y
_atom_site_fract_z
Ca1 Ca 0.000 0.000 0.000
Ta1 Ta 0.000 0.000 0.428
Ta2 Ta 0.000 0.500 0.210
Co1 Co 0.000 0.500 0.741
# **DOS at the Fermi energy**: 4.9 states/eV/f.u.

=====

Q | # CaTa2Co PBE-GGA optimized geometry
data_CaTa2Co
_symmetry_space_group_name_H-M 'P m m m'
_symmetry_Int_Tables_number 47
_symmetry_space_group_name_Hall '-P 2 2'
_cell_length_a 2.875
_cell_length_b 3.564
_cell_length_c 7.759
_cell_angle_alpha 90.00
_cell_angle_beta 90.00
_cell_angle_gamma 90.00
loop_
_atom_site_label
_atom_site_type_symbol
_atom_site_fract_x
_atom_site_fract_y
_atom_site_fract_z
Ca1 Ca 0.000 0.000 0.000
Ta1 Ta 0.500 0.500 0.330
Co1 Co 0.000 0.000 0.500
# **DOS at the Fermi energy**: 5.1 states/eV/f.u.

=====

Quick one: most stable of them? Q

=====

P | # B5C7 PBE-GGA optimized geometry
data_B5C7
_symmetry_space_group_name_H-M 'C 1 m 1'
_symmetry_Int_Tables_number 8
_symmetry_space_group_name_Hall 'C -2y'
_cell_length_a 13.702
_cell_length_b 2.488
_cell_length_c 4.848
_cell_angle_alpha 90.00
_cell_angle_beta 108.28
_cell_angle_gamma 90.00
loop_
_atom_site_label
_atom_site_type_symbol
_atom_site_fract_x
_atom_site_fract_y
_atom_site_fract_z
B1 B 0.000 0.000 0.000
B2 B 0.031 0.500 0.268
B3 B 0.152 0.000 0.863
B4 B 0.315 0.000 0.673
B5 B 0.358 0.500 0.945
C1 C 0.020 0.000 0.710
C2 C 0.159 0.500 0.377
C3 C 0.190 0.000 0.567
C4 C 0.201 0.500 0.111
C5 C 0.321 0.500 0.222
C6 C 0.362 0.000 0.409
C7 C 0.483 0.000 0.527
# **DOS at the Fermi energy**: 1.4 states/eV/f.u.

=====

Q | # B5C7 PBE-GGA optimized geometry
data_B5C7
_symmetry_space_group_name_H-M 'P 1'
_symmetry_Int_Tables_number 1
_symmetry_space_group_name_Hall 'P 1'
_cell_length_a 3.692
_cell_length_b 3.818
_cell_length_c 5.900
_cell_angle_alpha 89.76
_cell_angle_beta 73.35
_cell_angle_gamma 88.68
loop_
_atom_site_label
_atom_site_type_symbol
_atom_site_fract_x
_atom_site_fract_y
_atom_site_fract_z
B1 B 0.000 0.000 0.000
B2 B 0.069 0.737 0.493
B3 B 0.214 0.323 0.215
B4 B 0.508 0.304 0.497
B5 B 0.643 0.047 0.726
C1 C 0.178 0.531 0.707
C2 C 0.356 0.763 0.857
C3 C 0.365 0.013 0.343
C4 C 0.531 0.539 0.017
C5 C 0.684 0.779 0.191
C6 C 0.845 0.539 0.346
C7 C 0.854 0.306 0.862
# **DOS at the Fermi energy**: 2.4 states/eV/f.u.

=====

Quick one: most stable of them? Q